(1)
Density functional theory data (PBE) for crystalline Sm6Dy3Er2Sc at its relaxed geometry.

CIF file:
```
data_Sm6Dy3Er2Sc
_chemical_formula_sum 'Sm12 Dy6 Er4 Sc2'
_symmetry_space_group_name_H-M 'C 1 2/m 1'
_symmetry_Int_Tables_number 12
_cell_length_a 6.176
_cell_length_b 10.693
_cell_length_c 11.698
_cell_angle_alpha 90.00
_cell_angle_beta 100.10
_cell_angle_gamma 90.00
loop_
_symmetry_equiv_pos_as_xyz
'x,y,z'
'-x,-y,-z'
'-x,y,-z'
'x,-y,z'
'x+1/2,y+1/2,z'
'-x+1/2,-y+1/2,-z'
'-x+1/2,y+1/2,-z'
'x+1/2,-y+1/2,z'
loop_
_atom_site_label
_atom_site_fract_x
_atom_site_fract_y
_atom_site_fract_z
Sm1 0.248 0.165 0.247
Sm2 0.249 0.000 0.753
Dy1 0.000 0.167 0.500
Dy2 0.000 0.500 0.500
Er1 0.000 0.333 0.000
Sc1 0.000 0.000 0.000
```

Properties
As for the energy of formation from the pure elements: 0.025 eV per atom.



(2)
Density functional theory data (PBE) for crystalline K2Rb17 at its relaxed geometry.

CIF file:
```
data_K2Rb17
_chemical_formula_sum 'K6 Rb51'
_symmetry_space_group_name_H-M 'R -3 m'
_symmetry_Int_Tables_number 166
_symmetry_space_group_name_Hall '-R 3 2"'
_cell_length_a 15.9307
_cell_length_b 15.9307
_cell_length_c 24.7829
_cell_angle_alpha 90.00
_cell_angle_beta 90.00
_cell_angle_gamma 120.00
loop_
_atom_site_label
_atom_site_fract_x
_atom_site_fract_y
_atom_site_fract_z
K1 0.0000 0.0000 0.1924
Rb1 0.0000 0.0000 0.4038
Rb2 0.0000 0.3079 0.5000
Rb3 0.0000 0.5000 0.0000
Rb4 0.0092 0.5046 0.6472
```

Properties
As for the energy of formation from the pure elements: 0.051 eV per atom.



(3)
Density functional theory data (PBE) for crystalline BeAsPt2 at its relaxed geometry.

CIF file:
```
data_BeAsPt2
_chemical_formula_sum 'Be2 As2 Pt4'
_symmetry_space_group_name_H-M 'I m m m'
_symmetry_Int_Tables_number 71
_symmetry_space_group_name_Hall '-I 2 2'
_cell_length_a 3.623
_cell_length_b 4.561
_cell_length_c 7.124
_cell_angle_alpha 90.00
_cell_angle_beta 90.00
_cell_angle_gamma 90.00
loop_
_atom_site_label
_atom_site_fract_x
_atom_site_fract_y
_atom_site_fract_z
Be1 0.000 0.000 0.000
As1 0.000 0.000 0.500
Pt1 0.000 0.500 0.296
```

Properties
As for the energy of formation from the pure elements: -0.206 eV per atom.



(4)
Density functional theory data (PBE) for crystalline Cr2TeSe at its relaxed geometry.

CIF file:
```
data_Cr2TeSe
_chemical_formula_sum 'Cr4 Te2 Se2'
_symmetry_space_group_name_H-M 'I m m 2'
_symmetry_Int_Tables_number 44
_cell_length_a 3.609
_cell_length_b 3.634
_cell_length_c 13.158
_cell_angle_alpha 90.00
_cell_angle_beta 90.00
_cell_angle_gamma 90.00
loop_
_symmetry_equiv_pos_as_xyz
'x,y,z'
'-x,-y,z'
'-x,y,z'
'x,-y,z'
'x+1/2,y+1/2,z+1/2'
'-x+1/2,-y+1/2,z+1/2'
'-x+1/2,y+1/2,z+1/2'
'x+1/2,-y+1/2,z+1/2'
loop_
_atom_site_label
_atom_site_fract_x
_atom_site_fract_y
_atom_site_fract_z
Cr1 0.000 0.000 0.000
Cr2 0.000 0.500 0.222
Te1 0.000 0.000 0.404
Se1 0.000 0.500 0.655
```

Properties
The calculation puts the energy relative to the elements, uncorrected at 0.00 eV per atom.



Number 1: DFT total energy -4.773 eV per atom. Number 2: DFT total energy -0.930 eV per atom. Number 3: DFT total energy -5.320 eV per atom. Number 4: DFT total energy -6.463 eV per atom.